The following is a PBE calculation of Sr2SiAg after structural relaxation, from the Alexandria database.

Cell lengths 8.5363, 8.5363, 8.5363 Å; angles 30.22, 30.22, 30.22 degrees
Fractional positions:
Sr 0.0000 0.0000 0.0000
Sr 0.1728 0.1728 0.1728
Si 0.4191 0.4191 0.4191
Ag 0.7532 0.7532 0.7532

## Properties
* formation energy (no corrections): -298 meV/atom
* DOS(E_F): 3.33 states/eV per cell
* calculated total energy: -3.2071 eV per atom

The following is a PBE calculation of Dy8Sn2Ru after structural relaxation, from the Alexandria database.

Cell lengths 9.9033, 9.9033, 6.6629 Å; angles 105.08, 105.08, 29.25 degrees
Fractional positions:
Dy 0.0191 0.0191 0.2863
Dy 0.2171 0.2171 0.8183
Dy 0.3556 0.3556 0.5034
Dy 0.4111 0.4111 0.0417
Dy 0.5889 0.5889 0.9583
Dy 0.6444 0.6444 0.4966
Dy 0.7829 0.7829 0.1817
Dy 0.9809 0.9809 0.7137
Sn 0.1812 0.1812 0.2539
Sn 0.8188 0.8188 0.7461
Ru 0.5000 0.5000 0.5000

## Properties
* calculated formation energy: -0.375 eV per atom
* DOS(E_F): 9.10 states/eV per cell
* calculated total energy: -5.2934 eV per atom

The following is a PBE calculation of Na2ThAg2Se4 after structural relaxation, from the Alexandria database.

Cell lengths 8.0385, 8.0385, 7.8590 Å; angles 115.40, 115.40, 30.72 degrees
Fractional positions:
Na 0.1442 0.1442 0.0596
Na 0.8558 0.8558 0.9404
Th 0.0000 0.0000 0.5000
Ag 0.3202 0.3202 0.5192
Ag 0.6798 0.6798 0.4808
Se 0.2110 0.2110 0.7226
Se 0.4942 0.4942 0.2361
Se 0.5058 0.5058 0.7639
Se 0.7890 0.7890 0.2774

## Properties
* formation energy (no corrections): -1029 meV/atom
* calculated total energy: -4.3291 eV per atom

The following is a PBE calculation of ThSc3Cd4 after structural relaxation, from the Alexandria database.

Cell lengths 10.0763, 7.5512, 5.0378 Å; angles 90.00, 90.00, 90.00 degrees
Fractional positions:
Th 0.0000 0.0000 0.0000
Th 0.5000 0.0000 0.0000
Sc 0.0000 0.5000 0.0000
Sc 0.2500 0.0000 0.4989
Sc 0.2500 0.5000 0.4985
Sc 0.5000 0.5000 0.0000
Sc 0.7500 0.0000 0.5011
Sc 0.7500 0.5000 0.5015
Cd 0.0000 0.2729 0.5000
Cd 0.0000 0.7271 0.5000
Cd 0.2500 0.2729 0.9984
Cd 0.2500 0.7271 0.9984
Cd 0.5000 0.2729 0.5000
Cd 0.5000 0.7271 0.5000
Cd 0.7500 0.2729 0.0016
Cd 0.7500 0.7271 0.0016

## Properties
* calculated formation energy: -0.201 eV per atom
* DOS(E_F): 17.14 states/eV per cell
* calculated total energy: -3.9607 eV per atom